Compound: Mg2TlN
Source: Alexandria
Functional: PBE-GGA
Structure: relaxed

Lattice parameters (Å, degrees): 4.6648 4.6648 4.6648 60.00 60.00 60.00
Positions (direct):
1 Mg 0.2500 0.2500 0.2500
2 Mg 0.7500 0.7500 0.7500
3 Tl 0.0000 0.0000 0.0000
4 N 0.5000 0.5000 0.5000

uncorrected energy = -2.804 eV per atom
E_form (uncorrected) = 64 kJ/mol of atoms
ΔE to the lowest computed polymorph = 3.60 eV/f.u.
N(E_F) = 1.43 states/eV/f.u.